No. 1
DyMgNi2Ge2, relaxed, DFT PBE-GGA; energy of formation = -0.594 eV per atom; energy = -5.093 eV/atom; spin magnetization = 0.00 μB/f.u.
1.0
4.151 0.000 0.000
-2.076 3.595 0.000
0.000 0.000 6.669
Dy Mg Ni Ge
1 1 2 2
Direct
0.000 0.000 0.000 Dy
0.000 0.000 0.500 Mg
0.333 0.667 0.679 Ni
0.667 0.333 0.321 Ni
0.333 0.667 0.278 Ge
0.667 0.333 0.722 Ge

***

No. 2
Nd3Si3Rh2, relaxed, DFT PBE-GGA; energy = -6.520 eV/atom; offset from the most stable computed form = 0.018 eV per atom; spin magnetization = 0.00 μB/f.u.; raw formation energy = -860.8 meV per atom
1.0
2.081 -5.481 0.000
2.081 5.481 0.000
0.000 0.000 15.280
Nd Si Rh
6 6 4
Direct
0.077 0.923 0.750 Nd
0.359 0.641 0.595 Nd
0.359 0.641 0.905 Nd
0.641 0.359 0.095 Nd
0.641 0.359 0.405 Nd
0.923 0.077 0.250 Nd
0.078 0.922 0.552 Si
0.078 0.922 0.948 Si
0.210 0.790 0.250 Si
0.790 0.210 0.750 Si
0.922 0.078 0.052 Si
0.922 0.078 0.448 Si
0.352 0.648 0.118 Rh
0.352 0.648 0.382 Rh
0.648 0.352 0.618 Rh
0.648 0.352 0.882 Rh

***

No. 3
Sm2DyZr, relaxed, DFT PBE-GGA; energy of formation = 0.304 eV per atom; energy = -5.343 eV/atom; offset from the most stable computed form = 0.197 eV per atom; spin magnetization = 0.00 μB/f.u.
1.0
3.396 0.000 0.000
-1.698 2.941 0.000
0.000 0.000 36.234
Sm Dy Zr
6 3 3
Direct
0.000 0.000 0.086 Sm
0.000 0.000 0.914 Sm
0.333 0.667 0.581 Sm
0.333 0.667 0.753 Sm
0.667 0.333 0.247 Sm
0.667 0.333 0.419 Sm
0.000 0.000 0.500 Dy
0.333 0.667 0.167 Dy
0.667 0.333 0.833 Dy
0.000 0.000 0.000 Zr
0.333 0.667 0.667 Zr
0.667 0.333 0.333 Zr